A relaxed structure of SmTlSn2Br8. Source: Alexandria, functional GGA-PBE.

Calculated values
energy relative to the elements, uncorrected = -1.129 eV/atom
SG = No. 2
M_tot = 0.0 μB/f.u.

POSCAR file:
```
SmTlSn2Br8
1.0
6.895 0.000 0.000
0.134 7.279 0.000
0.015 0.020 9.129
Sm Tl Sn Br
1 1 2 8
direct
0.000 0.000 0.000
0.000 0.000 0.500
0.500 0.500 0.253
0.500 0.500 0.747
0.243 0.322 0.999
0.245 0.839 0.777
0.245 0.840 0.222
0.275 0.367 0.501
0.725 0.633 0.499
0.755 0.160 0.778
0.755 0.161 0.223
0.757 0.678 0.001
```